Entry 1:
# PBE BaZn2CuAu, relaxed
data_BaZn2CuAu
_chemical_formula_sum 'Ba1 Zn2 Cu1 Au1'
_cell_length_a 4.7760
_cell_length_b 4.7760
_cell_length_c 5.1916
_cell_angle_alpha 90.00
_cell_angle_beta 90.00
_cell_angle_gamma 90.00
_symmetry_space_group_name_H-M 'P 4/m m m'
_symmetry_Int_Tables_number 123
_symmetry_space_group_name_Hall '-P 4 2'
loop_
_atom_site_label
_atom_site_type_symbol
_atom_site_fract_x
_atom_site_fract_y
_atom_site_fract_z
Ba1 Ba 0.0000 0.0000 0.0000
Zn1 Zn 0.0000 0.5000 0.5000
Cu1 Cu 0.5000 0.5000 0.5000
Au1 Au 0.5000 0.5000 0.0000
# - Total magnetization: 0.00 Bohr magnetons per cell
# - Energy of formation from the pure elements: -1.0 eV/f.u.
# - DOS(E_F): 2.34 states/eV/cell
# - DFT total energy: -2.561 eV per atom
# - V: 118 Å³/f.u.


Entry 2:
# PBE BaZnCuAu2, relaxed
data_BaZnCuAu2
_chemical_formula_sum 'Ba1 Zn1 Cu1 Au2'
_cell_length_a 5.0907
_cell_length_b 5.0907
_cell_length_c 4.7125
_cell_angle_alpha 90.00
_cell_angle_beta 90.00
_cell_angle_gamma 90.00
_symmetry_space_group_name_H-M 'P 4/m m m'
_symmetry_Int_Tables_number 123
_symmetry_space_group_name_Hall '-P 4 2'
loop_
_atom_site_label
_atom_site_type_symbol
_atom_site_fract_x
_atom_site_fract_y
_atom_site_fract_z
Ba1 Ba 0.0000 0.0000 0.0000
Zn1 Zn 0.5000 0.5000 0.0000
Cu1 Cu 0.5000 0.5000 0.5000
Au1 Au 0.0000 0.5000 0.5000
# - Total magnetization: 0.00 Bohr magnetons per cell
# - Energy of formation from the pure elements: -1.4 eV/f.u.
# - DOS(E_F): 2.16 states/eV/cell
# - DFT total energy: -3.050 eV per atom
# - E above lowest polymorph: 0 meV per atom
# - V: 122 Å³/f.u.


Entry 3:
# PBE Ba2ZnCuAu, relaxed
data_Ba2ZnCuAu
_chemical_formula_sum 'Ba2 Zn1 Cu1 Au1'
_cell_length_a 6.0540
_cell_length_b 6.0540
_cell_length_c 4.6234
_cell_angle_alpha 90.00
_cell_angle_beta 90.00
_cell_angle_gamma 90.00
_symmetry_space_group_name_H-M 'P 4/m m m'
_symmetry_Int_Tables_number 123
_symmetry_space_group_name_Hall '-P 4 2'
loop_
_atom_site_label
_atom_site_type_symbol
_atom_site_fract_x
_atom_site_fract_y
_atom_site_fract_z
Ba1 Ba 0.0000 0.5000 0.0000
Zn1 Zn 0.0000 0.0000 0.5000
Cu1 Cu 0.0000 0.0000 0.0000
Au1 Au 0.5000 0.5000 0.5000
# - Total magnetization: 0.00 Bohr magnetons per cell
# - Energy of formation from the pure elements: -0.8 eV/f.u.
# - DOS(E_F): 4.08 states/eV/cell
# - DFT total energy: -2.661 eV per atom
# - V: 169 Å³/f.u.


Entry 4:
# PBE BaZnCuAu2, relaxed
data_BaZnCuAu2
_chemical_formula_sum 'Ba1 Zn1 Cu1 Au2'
_cell_length_a 6.1570
_cell_length_b 6.1570
_cell_length_c 6.8158
_cell_angle_alpha 90.00
_cell_angle_beta 90.00
_cell_angle_gamma 90.00
_symmetry_space_group_name_H-M 'P 4/m m m'
_symmetry_Int_Tables_number 123
_symmetry_space_group_name_Hall '-P 4 2'
loop_
_atom_site_label
_atom_site_type_symbol
_atom_site_fract_x
_atom_site_fract_y
_atom_site_fract_z
Ba1 Ba 0.0000 0.0000 0.0000
Zn1 Zn 0.0000 0.0000 0.5000
Cu1 Cu 0.5000 0.5000 0.5000
Au1 Au 0.0000 0.5000 0.0000
# - Total magnetization: 0.94 Bohr magnetons per cell
# - Energy of formation from the pure elements: 4.6 eV/f.u.
# - DOS(E_F): 1.24 states/eV/cell
# - DFT total energy: -1.848 eV per atom
# - E above lowest polymorph: 1202 meV per atom
# - V: 258 Å³/f.u.


Entry 5:
# PBE BaZn2CuAu4, relaxed
data_BaZn2CuAu4
_chemical_formula_sum 'Ba3 Zn6 Cu3 Au12'
_cell_length_a 4.4546
_cell_length_b 4.4546
_cell_length_c 29.2704
_cell_angle_alpha 90.00
_cell_angle_beta 90.00
_cell_angle_gamma 120.00
_symmetry_space_group_name_H-M 'R -3 m'
_symmetry_Int_Tables_number 166
_symmetry_space_group_name_Hall '-R 3 2"'
loop_
_atom_site_label
_atom_site_type_symbol
_atom_site_fract_x
_atom_site_fract_y
_atom_site_fract_z
Ba1 Ba 0.0000 0.0000 0.0000
Zn1 Zn 0.0000 0.0000 0.2330
Cu1 Cu 0.0000 0.0000 0.5000
Au1 Au 0.0000 0.0000 0.1366
Au2 Au 0.0000 0.0000 0.4089
# - Total magnetization: 0.00 Bohr magnetons per cell
# - Energy of formation from the pure elements: -2.5 eV/f.u.
# - DOS(E_F): 6.01 states/eV/cell
# - DFT total energy: -3.022 eV per atom
# - V: 168 Å³/f.u.


Entry 6:
# PBE Ba2Zn3CuAu12, relaxed
data_Ba2Zn3CuAu12
_chemical_formula_sum 'Ba6 Zn9 Cu3 Au36'
_cell_length_a 8.8623
_cell_length_b 8.8623
_cell_length_c 20.6607
_cell_angle_alpha 90.00
_cell_angle_beta 90.00
_cell_angle_gamma 120.00
_symmetry_space_group_name_H-M 'R -3 m'
_symmetry_Int_Tables_number 166
_symmetry_space_group_name_Hall '-R 3 2"'
loop_
_atom_site_label
_atom_site_type_symbol
_atom_site_fract_x
_atom_site_fract_y
_atom_site_fract_z
Ba1 Ba 0.0000 0.0000 0.1131
Zn1 Zn 0.0000 0.5000 0.0000
Cu1 Cu 0.0000 0.0000 0.5000
Au1 Au 0.0249 0.5125 0.1279
Au2 Au 0.0949 0.5474 0.3962
# - Total magnetization: 0.00 Bohr magnetons per cell
# - Energy of formation from the pure elements: -2.7 eV/f.u.
# - DOS(E_F): 18.13 states/eV/cell
# - DFT total energy: -2.989 eV per atom
# - V: 468 Å³/f.u.


Entry 7:
# PBE BaZrCu2Au, relaxed
data_BaZrCu2Au
_chemical_formula_sum 'Ba1 Zr1 Cu2 Au1'
_cell_length_a 5.0443
_cell_length_b 5.0443
_cell_length_c 5.1644
_cell_angle_alpha 90.00
_cell_angle_beta 90.00
_cell_angle_gamma 90.00
_symmetry_space_group_name_H-M 'P 4/m m m'
_symmetry_Int_Tables_number 123
_symmetry_space_group_name_Hall '-P 4 2'
loop_
_atom_site_label
_atom_site_type_symbol
_atom_site_fract_x
_atom_site_fract_y
_atom_site_fract_z
Ba1 Ba 0.0000 0.0000 0.0000
Zr1 Zr 0.5000 0.5000 0.0000
Cu1 Cu 0.0000 0.5000 0.5000
Au1 Au 0.5000 0.5000 0.5000
# - Total magnetization: 1.39 Bohr magnetons per cell
# - Energy of formation from the pure elements: 1.9 eV/f.u.
# - DOS(E_F): 4.01 states/eV/cell
# - DFT total energy: -4.015 eV per atom
# - V: 131 Å³/f.u.


Entry 8:
# PBE BaDyAu, relaxed
data_BaDyAu
_chemical_formula_sum 'Ba2 Dy2 Au2'
_cell_length_a 3.8434
_cell_length_b 3.8434
_cell_length_c 13.6698
_cell_angle_alpha 90.00
_cell_angle_beta 90.00
_cell_angle_gamma 90.00
_symmetry_space_group_name_H-M 'I 4 m m'
_symmetry_Int_Tables_number 107
_symmetry_space_group_name_Hall 'I 4 -2'
loop_
_atom_site_label
_atom_site_type_symbol
_atom_site_fract_x
_atom_site_fract_y
_atom_site_fract_z
Ba1 Ba 0.0000 0.0000 0.0000
Dy1 Dy 0.0000 0.0000 0.2660
Au1 Au 0.0000 0.0000 0.6762
# - Total magnetization: 0.00 Bohr magnetons per cell
# - Energy of formation from the pure elements: -1.4 eV/f.u.
# - DOS(E_F): 4.90 states/eV/cell
# - DFT total energy: -3.736 eV per atom
# - V: 101 Å³/f.u.


Entry 9:
# PBE BaDy4Au5, relaxed
data_BaDy4Au5
_chemical_formula_sum 'Ba1 Dy4 Au5'
_cell_length_a 3.6542
_cell_length_b 3.6542
_cell_length_c 18.6134
_cell_angle_alpha 90.00
_cell_angle_beta 90.00
_cell_angle_gamma 90.00
_symmetry_space_group_name_H-M 'P 4/m m m'
_symmetry_Int_Tables_number 123
_symmetry_space_group_name_Hall '-P 4 2'
loop_
_atom_site_label
_atom_site_type_symbol
_atom_site_fract_x
_atom_site_fract_y
_atom_site_fract_z
Ba1 Ba 0.0000 0.0000 0.0000
Dy1 Dy 0.0000 0.0000 0.2111
Dy2 Dy 0.0000 0.0000 0.4044
Au1 Au 0.5000 0.5000 0.1290
Au2 Au 0.5000 0.5000 0.3092
Au3 Au 0.5000 0.5000 0.5000
# - Total magnetization: 0.00 Bohr magnetons per cell
# - Energy of formation from the pure elements: -8.1 eV/f.u.
# - DOS(E_F): 7.47 states/eV/cell
# - DFT total energy: -4.481 eV per atom
# - V: 249 Å³/f.u.


Entry 10:
# PBE BaDyGa2Au5, relaxed
data_BaDyGa2Au5
_chemical_formula_sum 'Ba1 Dy1 Ga2 Au5'
_cell_length_a 5.0492
_cell_length_b 5.0492
_cell_length_c 8.8724
_cell_angle_alpha 90.00
_cell_angle_beta 90.00
_cell_angle_gamma 90.00
_symmetry_space_group_name_H-M 'P 4/m m m'
_symmetry_Int_Tables_number 123
_symmetry_space_group_name_Hall '-P 4 2'
loop_
_atom_site_label
_atom_site_type_symbol
_atom_site_fract_x
_atom_site_fract_y
_atom_site_fract_z
Ba1 Ba 0.0000 0.0000 0.0000
Dy1 Dy 0.0000 0.0000 0.5000
Ga1 Ga 0.5000 0.5000 0.2905
Au1 Au 0.0000 0.5000 0.3206
Au2 Au 0.5000 0.5000 0.0000
# - Total magnetization: 0.00 Bohr magnetons per cell
# - Energy of formation from the pure elements: -4.6 eV/f.u.
# - DOS(E_F): 3.33 states/eV/cell
# - DFT total energy: -3.727 eV per atom
# - V: 226 Å³/f.u.


Entry 11:
# PBE BaDyGe2Au2, relaxed
data_BaDyGe2Au2
_chemical_formula_sum 'Ba1 Dy1 Ge2 Au2'
_cell_length_a 4.5661
_cell_length_b 4.5661
_cell_length_c 8.2472
_cell_angle_alpha 90.00
_cell_angle_beta 90.00
_cell_angle_gamma 120.00
_symmetry_space_group_name_H-M 'P -3 m 1'
_symmetry_Int_Tables_number 164
_symmetry_space_group_name_Hall '-P 3 2"'
loop_
_atom_site_label
_atom_site_type_symbol
_atom_site_fract_x
_atom_site_fract_y
_atom_site_fract_z
Ba1 Ba 0.0000 0.0000 0.0000
Dy1 Dy 0.0000 0.0000 0.5000
Ge1 Ge 0.3333 0.6667 0.7108
Au1 Au 0.3333 0.6667 0.3087
# - Total magnetization: 0.00 Bohr magnetons per cell
# - Energy of formation from the pure elements: -4.5 eV/f.u.
# - DOS(E_F): 2.82 states/eV/cell
# - DFT total energy: -4.465 eV per atom
# - V: 149 Å³/f.u.


Entry 12:
# PBE BaDyHgAu, relaxed
data_BaDyHgAu
_chemical_formula_sum 'Ba4 Dy4 Hg4 Au4'
_cell_length_a 7.7742
_cell_length_b 7.7742
_cell_length_c 7.7742
_cell_angle_alpha 90.00
_cell_angle_beta 90.00
_cell_angle_gamma 90.00
_symmetry_space_group_name_H-M 'F -4 3 m'
_symmetry_Int_Tables_number 216
_symmetry_space_group_name_Hall 'F -4 2 3'
loop_
_atom_site_label
_atom_site_type_symbol
_atom_site_fract_x
_atom_site_fract_y
_atom_site_fract_z
Ba1 Ba 0.0000 0.0000 0.0000
Dy1 Dy 0.0000 0.0000 0.5000
Hg1 Hg 0.2500 0.2500 0.7500
Au1 Au 0.2500 0.2500 0.2500
# - Total magnetization: 0.00 Bohr magnetons per cell
# - Energy of formation from the pure elements: -1.8 eV/f.u.
# - DOS(E_F): 15.24 states/eV/cell
# - DFT total energy: -2.975 eV per atom
# - V: 117 Å³/f.u.